! GGA-PBE Ce4CO2, optimized geometry; values from VASP
&SYSTEM
  ibrav = 0, nat = 7, ntyp = 3
/
ATOMIC_SPECIES
O 16.00 O.upf
Ce 140.12 Ce.upf
C 12.01 C.upf
ATOMIC_POSITIONS crystal
O 0.2587 0.2693 0.5174
O 0.7413 0.7307 0.4826
Ce 0.1331 0.8140 0.2662
Ce 0.3743 0.7153 0.7486
Ce 0.6257 0.2847 0.2514
Ce 0.8669 0.1860 0.7338
C 0.0000 0.0000 0.0000
CELL_PARAMETERS angstrom
3.4170 0.0000 -0.9351
-0.7519 5.5166 -2.7474
0.0622 0.1256 6.9378
! **Density**: 7.58 Mg/m³
! **Uncorrected energy**: -7.70 eV/atom
! **Crystal system**: monoclinic

! GGA-PBE Ce3CO3, optimized geometry; values from VASP
&SYSTEM
  ibrav = 0, nat = 14, ntyp = 3
/
ATOMIC_SPECIES
C 12.01 C.upf
O 16.00 O.upf
Ce 140.12 Ce.upf
ATOMIC_POSITIONS crystal
C 0.2316 0.2316 0.0185
C 0.7684 0.7684 0.9815
O 0.2022 0.7978 0.0000
O 0.7978 0.2022 0.0000
O 0.2022 0.7978 0.5000
O 0.7606 0.7606 0.4898
O 0.2394 0.2394 0.5102
O 0.7978 0.2022 0.5000
Ce 0.0001 0.5000 0.2453
Ce 0.5000 0.0001 0.2453
Ce 0.5000 0.9999 0.7547
Ce 0.9999 0.5000 0.7547
Ce 0.9972 0.9972 0.2528
Ce 0.0028 0.0028 0.7472
CELL_PARAMETERS angstrom
6.6038 0.7864 2.5250
1.9657 6.3533 2.5250
1.1680 0.9732 7.1111
! **Density**: 6.15 Mg/m³
! **Uncorrected energy**: -8.18 eV/atom
! **Crystal system**: orthorhombic

! GGA-PBE Ce4CO5, optimized geometry; values from VASP
&SYSTEM
  ibrav = 0, nat = 10, ntyp = 3
/
ATOMIC_SPECIES
O 16.00 O.upf
Ce 140.12 Ce.upf
C 12.01 C.upf
ATOMIC_POSITIONS crystal
O 0.1797 0.9871 0.3593
O 0.1717 0.4885 0.3434
O 0.8203 0.0129 0.6407
O 0.8283 0.5115 0.6566
O 0.5000 0.5000 0.0000
Ce 0.9461 0.2495 0.8923
Ce 0.3147 0.7588 0.6293
Ce 0.0539 0.7505 0.1077
Ce 0.6853 0.2412 0.3707
C 0.5000 0.0000 0.0000
CELL_PARAMETERS angstrom
3.5694 0.0000 -0.8905
-0.2229 5.8449 -0.8935
-0.0505 0.6887 7.3968
! **Density**: 6.93 Mg/m³
! **Uncorrected energy**: -8.45 eV/atom
! **Crystal system**: monoclinic

! GGA-PBE Ce5C4O, optimized geometry; values from VASP
&SYSTEM
  ibrav = 0, nat = 10, ntyp = 3
/
ATOMIC_SPECIES
C 12.01 C.upf
Ce 140.12 Ce.upf
O 16.00 O.upf
ATOMIC_POSITIONS crystal
C 0.8062 0.8062 0.6125
C 0.1938 0.1938 0.3875
C 0.4040 0.4040 0.8080
C 0.5960 0.5960 0.1920
Ce 0.5997 0.0997 0.1993
Ce 0.4003 0.9003 0.8007
Ce 0.2003 0.7003 0.4006
Ce 0.0000 0.5000 0.0000
Ce 0.7997 0.2997 0.5994
O 0.0000 0.0000 0.0000
CELL_PARAMETERS angstrom
3.6125 0.0000 -0.6969
-0.2629 4.9089 -1.3627
-0.0022 0.0417 9.6994
! **Density**: 7.37 Mg/m³
! **Uncorrected energy**: -7.83 eV/atom
! **Crystal system**: orthorhombic

! GGA-PBE CeC2O6, optimized geometry; values from VASP
&SYSTEM
  ibrav = 0, nat = 18, ntyp = 3
/
ATOMIC_SPECIES
O 16.00 O.upf
C 12.01 C.upf
Ce 140.12 Ce.upf
ATOMIC_POSITIONS crystal
O 0.8903 0.2966 0.9063
O 0.3962 0.6402 0.9623
O 0.8903 0.8527 0.7560
O 0.5466 0.6403 0.4063
O 0.6838 0.4278 0.5377
O 0.1027 0.6403 0.2560
O 0.3903 0.9840 0.0937
O 0.3843 0.8467 0.7440
O 0.6778 0.4338 0.0377
O 0.0967 0.1343 0.2440
O 0.8902 0.1462 0.4623
O 0.2340 0.1403 0.5937
C 0.8903 0.4586 0.0683
C 0.7086 0.6403 0.5683
C 0.0719 0.1403 0.4317
C 0.3903 0.8219 0.9317
Ce 0.5153 0.0153 0.5000
Ce 0.2653 0.2653 0.0000
CELL_PARAMETERS angstrom
-5.2194 1.9357 -3.5362
3.0819 -5.6055 -1.6043
-2.3698 -1.0555 6.0634
! **Density**: 4.00 Mg/m³
! **Uncorrected energy**: -8.02 eV/atom
! **Crystal system**: tetragonal

! GGA-PBE Ce5CO5, optimized geometry; values from VASP
&SYSTEM
  ibrav = 0, nat = 11, ntyp = 3
/
ATOMIC_SPECIES
Ce 140.12 Ce.upf
O 16.00 O.upf
C 12.01 C.upf
ATOMIC_POSITIONS crystal
Ce 0.8347 0.6694 0.6638
Ce 0.8423 0.6846 0.1787
Ce 0.1577 0.3154 0.8213
Ce 0.5000 0.0000 0.0000
Ce 0.1653 0.3306 0.3362
O 0.3208 0.6417 0.1442
O 0.6792 0.3583 0.8558
O 0.6760 0.3521 0.3234
O 0.0000 0.0000 0.5000
O 0.3240 0.6479 0.6766
C 0.0000 0.0000 0.0000
CELL_PARAMETERS angstrom
-3.5267 -2.4692 -2.4211
3.6824 -3.6238 3.3701
-4.8920 2.6737 4.3989
! **Density**: 7.01 Mg/m³
! **Uncorrected energy**: -8.27 eV/atom
! **Crystal system**: monoclinic

! GGA-PBE Ce2C2O, optimized geometry; values from VASP
&SYSTEM
  ibrav = 0, nat = 10, ntyp = 3
/
ATOMIC_SPECIES
C 12.01 C.upf
O 16.00 O.upf
Ce 140.12 Ce.upf
ATOMIC_POSITIONS crystal
C 0.3621 0.0341 0.4320
C 0.0699 0.5341 0.4320
C 0.6379 0.9659 0.5680
C 0.9301 0.4659 0.5680
O 0.2413 0.2500 0.0000
O 0.7587 0.7500 0.0000
Ce 0.5972 0.3564 0.7630
Ce 0.1659 0.8564 0.7630
Ce 0.8341 0.1436 0.2370
Ce 0.4028 0.6436 0.2370
CELL_PARAMETERS angstrom
-1.2945 1.6802 -3.1804
-1.4955 -5.8170 -2.4644
-4.5760 1.1295 4.7567
! **Density**: 6.95 Mg/m³
! **Uncorrected energy**: -8.28 eV/atom
! **Crystal system**: monoclinic

! GGA-PBE Ce4C2O, optimized geometry; values from VASP
&SYSTEM
  ibrav = 0, nat = 7, ntyp = 3
/
ATOMIC_SPECIES
Ce 140.12 Ce.upf
O 16.00 O.upf
C 12.01 C.upf
ATOMIC_POSITIONS crystal
Ce 0.2937 0.2937 0.1190
Ce 0.1184 0.1184 0.6447
Ce 0.8816 0.8816 0.3553
Ce 0.7063 0.7063 0.8810
O 0.0000 0.0000 0.0000
C 0.5848 0.5848 0.2455
C 0.4152 0.4152 0.7545
CELL_PARAMETERS angstrom
-1.8524 -0.0411 -3.0678
1.1914 -1.9122 -2.7873
-6.5172 -10.3053 1.9799
! **Density**: 7.36 Mg/m³
! **Uncorrected energy**: -7.69 eV/atom
! **Crystal system**: trigonal

Question: Look up the uncorrected energy of the eighth one.
Answer: -7.69 eV/atom